CaPrMo2O8 | PBE+U | relaxed

Unit cell a=5.3557 b=5.3557 c=11.6528 alpha=90.00 beta=90.00 gamma=90.00
Last column: nearest neighbours and their distance in Å.
Space group I-4 (No. 82)
Unique sites:
Ca 0.0000 0.0000 0.0000 [2 per cell]  8 O 2.50
Pr 0.0000 0.5000 0.2500 [2 per cell]  8 O 2.43-2.54
Mo 0.0000 0.0000 0.5000 [2 per cell]  4 O 1.81
Mo 0.0000 0.5000 0.7500 [2 per cell]  4 O 1.88
O 0.1566 0.2387 0.4172 [8 per cell]  1 Mo 1.81
O 0.1603 0.7568 0.8320 [8 per cell]  1 Mo 1.88

Calculated values
- raw total energy (eV per atom) = -7.39